VASP calculation (PBE-GGA) on a geometry-optimized BeBOs structure.

```
BeBOs
1.0
-2.727 -0.477 3.087
-2.269 -1.633 -0.864
4.104 -3.460 0.712
Be B Os
2 2 2
direct
0.520 0.234 0.333 Be
0.191 0.978 0.495 Be
0.447 0.486 0.764 B
0.263 0.727 0.064 B
0.842 0.750 0.689 Os
0.869 0.463 0.139 Os
```

## Properties
* space group: P-1 (2)

VASP calculation (PBE-GGA) on a geometry-optimized BeBOs structure.

```
BeBOs
1.0
2.854 0.000 0.000
0.000 2.854 0.000
-1.427 -1.427 3.554
Be B Os
1 1 1
direct
0.952 0.952 0.904 Be
0.269 0.269 0.538 B
0.629 0.629 0.259 Os
```

## Properties
* space group: I4mm (107)

VASP calculation (PBE-GGA) on a geometry-optimized BeBOs structure.

```
BeBOs
1.0
-2.365 -0.778 1.487
0.863 -3.385 -0.399
1.165 1.794 2.790
Be B Os
1 1 1
direct
0.102 0.000 0.000 Be
0.371 0.667 0.333 B
0.527 0.333 0.667 Os
```

## Properties
* space group: P3m1 (156)

VASP calculation (PBE-GGA) on a geometry-optimized Be2BOs structure.

```
Be2BOs
1.0
6.092 0.000 0.000
0.000 6.092 0.000
3.046 3.046 2.097
Be B Os
4 2 2
direct
0.554 0.125 0.250 Be
0.196 0.625 0.250 Be
0.375 0.446 0.750 Be
0.875 0.804 0.750 Be
0.500 0.500 0.000 B
0.250 0.750 0.500 B
0.000 0.000 0.000 Os
0.750 0.250 0.500 Os
```

## Properties
* space group: I-42d (122)

VASP calculation (PBE-GGA) on a geometry-optimized Be2BOs2 structure.

```
Be2BOs2
1.0
2.823 0.000 0.000
0.000 2.823 0.000
1.412 1.412 6.460
Be B Os
2 1 2
direct
0.750 0.250 0.500 Be
0.250 0.750 0.500 Be
0.000 0.000 0.000 B
0.399 0.399 0.201 Os
0.601 0.601 0.799 Os
```

## Properties
* space group: I4/mmm (139)

VASP calculation (PBE-GGA) on a geometry-optimized BeB3Os structure.

```
BeB3Os
1.0
4.085 0.000 0.000
0.000 4.085 0.000
0.000 0.000 4.085
Be B Os
1 3 1
direct
0.500 0.500 0.500 Be
0.000 0.500 0.000 B
0.000 0.000 0.500 B
0.500 0.000 0.000 B
0.000 0.000 0.000 Os
```

## Properties
* space group: Pm-3m (221)

Number 1: energy of formation -0.26 eV per atom, E_tot -44.83 eV per cell, Fermi-level density of states 1.54 states/eV per cell. Number 2: energy of formation 0.04 eV per atom, E_tot -21.52 eV per cell, Fermi-level density of states 1.91 states/eV per cell. Number 3: energy of formation 0.00 eV per atom, E_tot -21.64 eV per cell, Fermi-level density of states 0.96 states/eV per cell. Number 4: energy of formation 0.29 eV per atom, E_tot -48.37 eV per cell, Fermi-level density of states 5.54 states/eV per cell. Number 5: energy of formation 0.21 eV per atom, E_tot -35.54 eV per cell, Fermi-level density of states 3.29 states/eV per cell. Number 6: energy of formation 1.31 eV per atom, E_tot -28.43 eV per cell, Fermi-level density of states 2.97 states/eV per cell.